## Te8Pd4Au (GGA-PBE)

Data for a relaxed Te8Pd4Au crystal.

Formation energy (no corrections)   -232 meV per atom
SG   No. 166

The structure in CIF format:
```
data_Te8Pd4Au
_chemical_formula_sum 'Te8 Pd4 Au1'
_cell_length_a 8.033
_cell_length_b 8.033
_cell_length_c 8.033
_cell_angle_alpha 60.24
_cell_angle_beta 60.24
_cell_angle_gamma 60.24
_symmetry_space_group_name_H-M 'P 1'
_symmetry_Int_Tables_number 1
loop_
_symmetry_equiv_pos_as_xyz
'x,y,z'
loop_
_atom_site_label
_atom_site_fract_x
_atom_site_fract_y
_atom_site_fract_z
Te1 0.231 0.743 0.743
Te2 0.238 0.238 0.238
Te3 0.257 0.257 0.769
Te4 0.257 0.769 0.257
Te5 0.743 0.231 0.743
Te6 0.743 0.743 0.231
Te7 0.762 0.762 0.762
Te8 0.769 0.257 0.257
Pd1 0.000 0.000 0.500
Pd2 0.000 0.500 0.000
Pd3 0.500 0.000 0.000
Pd4 0.500 0.500 0.500
Au1 0.000 0.000 0.000
```